1.
# Li2AgSb2

An optimized crystal structure of Li2AgSb2 (GGA-PBE, the Alexandria database).

The uncorrected formation energy is -0.29 eV per atom. As for the space-group type: C2/m, No. 12. As for the energy relative to the lowest polymorph listed for this composition: 0 kJ/mol of formula units.

```
Li2AgSb2
1.0
5.604 -2.267 0.000
5.604 2.267 0.000
-5.290 0.000 9.042
Li Ag Sb
4 2 4
Direct
0.020 0.020 0.324
0.175 0.175 0.061
0.825 0.825 0.939
0.980 0.980 0.676
0.282 0.282 0.610
0.718 0.718 0.390
0.361 0.361 0.385
0.467 0.467 0.118
0.533 0.533 0.882
0.639 0.639 0.615
```

2.
# NdAlGe

An optimized crystal structure of NdAlGe (GGA-PBE, the Alexandria database).

As for the space-group type: I4_1md, No. 109. The value obtained for the formation energy is -0.686 eV/atom.

```
NdAlGe
1.0
4.274 0.000 0.000
0.000 4.274 0.000
0.000 0.000 14.740
Nd Al Ge
4 4 4
Direct
0.000 0.000 0.000
0.000 0.500 0.250
0.500 0.000 0.750
0.500 0.500 0.500
0.000 0.000 0.584
0.000 0.500 0.834
0.500 0.000 0.334
0.500 0.500 0.084
0.000 0.000 0.418
0.000 0.500 0.668
0.500 0.000 0.168
0.500 0.500 0.918
```

3.
# CaMn2Tc

An optimized crystal structure of CaMn2Tc (GGA-PBE, the Alexandria database).

As for the space-group type: I-42d, No. 122. As for the energy relative to the lowest polymorph listed for this composition: 164 kJ/mol of formula units. The value obtained for the formation energy is 0.786 eV/atom.

```
CaMn2Tc
1.0
7.254 0.000 0.000
0.000 7.254 0.000
0.000 0.000 5.799
Ca Mn Tc
4 8 4
Direct
0.000 0.000 0.000
0.000 0.500 0.250
0.500 0.000 0.750
0.500 0.500 0.500
0.186 0.250 0.625
0.250 0.686 0.875
0.250 0.814 0.375
0.314 0.250 0.125
0.686 0.750 0.125
0.750 0.186 0.375
0.750 0.314 0.875
0.814 0.750 0.625
0.000 0.000 0.500
0.000 0.500 0.750
0.500 0.000 0.250
0.500 0.500 0.000
```

4.
# BaHgIr2

An optimized crystal structure of BaHgIr2 (GGA-PBE, the Alexandria database).

As for the space-group type: Pmmm, No. 47. The value obtained for the formation energy is 0.542 eV/atom.

```
BaHgIr2
1.0
3.037 0.000 0.000
0.000 4.353 0.000
0.000 0.000 6.822
Ba Hg Ir
1 1 2
Direct
0.000 0.000 0.000
0.000 0.000 0.500
0.500 0.500 0.316
0.500 0.500 0.684
```

5.
# AcO6F2

An optimized crystal structure of AcO6F2 (GGA-PBE, the Alexandria database).

The uncorrected formation energy is -1.29 eV per atom. As for the space-group type: P-1, No. 2.

```
AcO6F2
1.0
4.050 0.000 0.000
-1.253 5.504 0.000
-0.377 -1.426 6.190
Ac O F
1 6 2
Direct
0.000 0.000 0.000
0.042 0.220 0.642
0.113 0.597 0.322
0.239 0.565 0.130
0.761 0.435 0.870
0.887 0.403 0.678
0.958 0.780 0.358
0.438 0.868 0.792
0.562 0.132 0.208
```

6.
# CdInAg5

An optimized crystal structure of CdInAg5 (GGA-PBE, the Alexandria database).

As for the space-group type: Cmcm, No. 63. As for the energy relative to the lowest polymorph listed for this composition: 0 kJ/mol of formula units. The value obtained for the formation energy is 0.020 eV/atom.

```
CdInAg5
1.0
4.222 -2.914 0.000
4.222 2.914 0.000
0.000 0.000 11.437
Cd In Ag
2 2 10
Direct
0.112 0.888 0.750
0.888 0.112 0.250
0.500 0.500 0.000
0.500 0.500 0.500
0.071 0.381 0.617
0.071 0.381 0.883
0.381 0.071 0.117
0.381 0.071 0.383
0.410 0.590 0.250
0.590 0.410 0.750
0.619 0.929 0.617
0.619 0.929 0.883
0.929 0.619 0.117
0.929 0.619 0.383
```

7.
# HoCoC

An optimized crystal structure of HoCoC (GGA-PBE, the Alexandria database).

As for the space-group type: P4/mmm, No. 123. As for the energy relative to the lowest polymorph listed for this composition: 17 kJ/mol of formula units. The value obtained for the formation energy is -0.276 eV/atom.

```
HoCoC
1.0
3.537 0.000 0.000
0.000 3.537 0.000
0.000 0.000 3.605
Ho Co C
1 1 1
Direct
0.000 0.000 0.000
0.500 0.500 0.500
0.500 0.500 0.000
```

8.
# Pr4SmZn2

An optimized crystal structure of Pr4SmZn2 (GGA-PBE, the Alexandria database).

As for the space-group type: R-3m, No. 166. The value obtained for the formation energy is 0.017 eV/atom.

```
Pr4SmZn2
1.0
2.784 1.607 7.766
-2.784 1.607 7.766
0.000 -3.214 7.766
Pr Sm Zn
4 1 2
Direct
0.069 0.069 0.069
0.247 0.247 0.247
0.753 0.753 0.753
0.931 0.931 0.931
0.500 0.500 0.500
0.376 0.376 0.376
0.624 0.624 0.624
```